Below is a geometry-optimized Pa5Fe structure, with properties calculated at the GGA-PBE level.

Unit cell a=3.2918 b=5.5679 c=8.5657 alpha=65.49 beta=78.92 gamma=72.81
With the nearest neighbours (Å) after each atom.
Positions (direct):
1 Pa 0.6335 0.5958 0.1372  2 Fe 2.60
2 Pa 0.3665 0.4042 0.8628  2 Fe 2.60
3 Pa 0.6912 0.9249 0.6927  8 Pa 3.07-3.37, 2 Fe 3.21
4 Pa 0.0000 0.5000 0.5000  12 Pa 3.24-3.33
5 Pa 0.3088 0.0751 0.3073  8 Pa 3.07-3.37, 2 Fe 3.21
6 Fe 0.0000 0.0000 0.0000  4 Pa 2.60

- DFT formation energy: -10 meV/atom
- SG: C2/m
- ρ: 14.784 g/cm³